Entry 1:
## RbNbCoO4 (PBE+U)

Data for a relaxed RbNbCoO4 crystal.

Geometry as extended XYZ:
```
14
Lattice="-2.458 3.909 -3.168 -4.594 0.122 3.714 4.816 4.156 5.820" Properties=species:S:1:pos:R:3 pbc="T T T"
Rb -0.450 5.179 6.324
Rb -1.785 3.007 0.043
Nb -2.465 2.357 3.924
Nb 0.230 5.830 2.443
Co -3.227 5.477 2.879
Co 0.992 2.709 3.488
O -1.522 6.624 2.490
O -2.902 1.621 5.647
O -0.713 1.563 3.877
O 0.667 6.566 0.720
O -3.595 1.956 2.539
O 1.360 6.231 3.828
O -2.302 4.214 4.064
O 0.067 3.973 2.302
```

* total energy: -98.3 eV/cell
* total magnetic moment: 0.415 μB per atom


Entry 2:
## NbCoSbO6 (PBE+U)

Data for a relaxed NbCoSbO6 crystal.

Geometry as extended XYZ:
```
18
Lattice="5.271 0.000 0.000 -2.636 4.565 0.000 0.000 0.000 9.055" Properties=species:S:1:pos:R:3 pbc="T T T"
Nb 2.636 1.522 2.264
Nb 0.000 3.043 6.791
Co 0.000 0.000 0.000
Co 0.000 0.000 4.528
Sb 0.000 3.043 2.264
Sb 2.636 1.522 6.791
O 1.705 2.969 1.190
O -0.918 1.604 1.190
O 1.848 0.007 5.718
O 3.553 2.961 7.865
O 0.918 1.604 3.337
O -1.705 2.969 3.337
O 3.423 0.007 7.865
O 0.788 4.558 3.337
O 4.341 1.597 5.718
O -0.788 4.558 1.190
O 1.718 2.961 5.718
O 0.930 1.597 7.865
```

* total energy: -128.2 eV/cell
* total magnetic moment: 0.337 μB per atom


Entry 3:
## Sr3NbCo2O9 (PBE+U)

Data for a relaxed Sr3NbCo2O9 crystal.

Geometry as extended XYZ:
```
15
Lattice="5.597 0.000 0.000 -2.798 4.847 0.000 0.000 0.000 6.834" Properties=species:S:1:pos:R:3 pbc="T T T"
Sr 0.000 3.231 4.653
Sr 0.000 0.000 0.000
Sr 2.798 1.616 2.181
Nb 0.000 0.000 3.417
Co 0.000 3.231 1.091
Co 2.798 1.616 5.743
O 4.188 0.813 4.579
O 2.798 3.221 4.579
O 1.408 0.813 4.579
O 1.390 4.034 2.255
O 0.000 1.626 2.255
O -1.390 4.034 2.255
O 2.798 0.000 0.000
O -1.399 2.424 0.000
O 1.399 2.424 0.000
```

* total energy: -101.8 eV/cell
* total magnetic moment: 0.451 μB per atom


Entry 4:
## Sr3Nb2CoO9 (PBE+U)

Data for a relaxed Sr3Nb2CoO9 crystal.

Geometry as extended XYZ:
```
15
Lattice="5.727 0.000 0.000 -2.863 4.959 0.000 0.000 0.000 7.022" Properties=species:S:1:pos:R:3 pbc="T T T"
Sr 0.000 3.306 4.674
Sr 0.000 0.000 0.000
Sr 2.863 1.653 2.348
Nb 0.000 3.306 1.269
Nb 2.863 1.653 5.753
Co 0.000 0.000 3.511
O 4.281 0.835 4.704
O 2.863 3.290 4.704
O 1.446 0.835 4.704
O 1.417 4.125 2.318
O 0.000 1.670 2.318
O -1.417 4.125 2.318
O 2.863 0.000 0.000
O -1.432 2.480 0.000
O 1.432 2.480 0.000
```

* total energy: -113.8 eV/cell
* total magnetic moment: 0.200 μB per atom